# 1
VASP calculation (PBE-GGA) on a relaxed Na12TlPb6 crystal.

Cell and atoms, written as POSCAR:
```
Na12TlPb6
1.0
5.916 3.415 4.913
-5.916 3.415 4.913
0.000 -6.831 4.913
Na Tl Pb
12 1 6
Direct
0.021 0.313 0.920
0.080 0.979 0.687
0.124 0.359 0.467
0.313 0.920 0.021
0.359 0.467 0.124
0.467 0.124 0.359
0.533 0.876 0.641
0.641 0.533 0.876
0.687 0.080 0.979
0.876 0.641 0.533
0.920 0.021 0.313
0.979 0.687 0.080
0.500 0.500 0.500
0.231 0.624 0.762
0.238 0.769 0.376
0.376 0.238 0.769
0.624 0.762 0.231
0.762 0.231 0.624
0.769 0.376 0.238
```

## Properties
- DFT total energy: -2.229 eV/atom
- Calculated density: 4.8 g/cm³
- V: 31.35 Å³ per atom
- E_form: -0.101 eV/atom
- Symmetry: R-3, No. 148


# 2
VASP calculation (PBE-GGA) on a relaxed NaTlPb3 crystal.

Cell and atoms, written as POSCAR:
```
NaTlPb3
1.0
5.744 0.000 0.000
0.000 6.914 0.000
-2.848 0.000 7.918
Na Tl Pb
2 2 6
Direct
0.110 0.250 0.216
0.890 0.750 0.784
0.497 0.750 0.001
0.503 0.250 0.999
0.120 0.750 0.248
0.310 0.003 0.618
0.310 0.497 0.618
0.690 0.503 0.382
0.690 0.997 0.382
0.880 0.250 0.752
```

## Properties
- DFT total energy: -3.008 eV/atom
- Offset from the most stable computed form: 0.0362 eV/atom
- Calculated density: 9.0 g/cm³
- V: 31.45 Å³ per atom
- E_form: -0.046 eV/atom
- Symmetry: P2_1/m, No. 11


# 3
VASP calculation (PBE-GGA) on a relaxed Na4Tl2Pb crystal.

Cell and atoms, written as POSCAR:
```
Na4Tl2Pb
1.0
-2.953 2.953 7.901
2.953 -2.953 7.901
2.953 2.953 -7.901
Na Tl Pb
4 2 1
Direct
0.000 0.500 0.500
0.197 0.197 0.000
0.500 0.000 0.500
0.803 0.803 0.000
0.400 0.400 0.000
0.600 0.600 0.000
0.000 0.000 0.000
```

## Properties
- DFT total energy: -1.890 eV/atom
- Offset from the most stable computed form: 0.1771 eV/atom
- Calculated density: 4.3 g/cm³
- V: 39.36 Å³ per atom
- E_form: 0.069 eV/atom
- Symmetry: I4/mmm, No. 139


# 4
VASP calculation (PBE-GGA) on a relaxed Na2Tl6Pb3 crystal.

Cell and atoms, written as POSCAR:
```
Na2Tl6Pb3
1.0
8.273 -1.747 0.000
8.273 1.747 0.000
-0.053 0.000 11.634
Na Tl Pb
2 6 3
Direct
0.096 0.096 0.446
0.904 0.904 0.554
0.054 0.054 0.727
0.282 0.282 0.373
0.364 0.364 0.805
0.636 0.636 0.195
0.718 0.718 0.627
0.946 0.946 0.273
0.000 0.000 0.000
0.318 0.318 0.087
0.682 0.682 0.913
```

## Properties
- DFT total energy: -2.569 eV/atom
- Calculated density: 9.4 g/cm³
- V: 30.57 Å³ per atom
- E_form: -0.027 eV/atom
- Symmetry: C2/m, No. 12


# 5
VASP calculation (PBE-GGA) on a relaxed NaTl8Pb5 crystal.

Cell and atoms, written as POSCAR:
```
NaTl8Pb5
1.0
-4.749 4.749 4.922
4.749 -4.749 4.922
4.749 4.749 -4.922
Na Tl Pb
1 8 5
Direct
0.000 0.000 0.000
0.021 0.417 0.266
0.072 0.155 0.726
0.151 0.754 0.734
0.246 0.979 0.396
0.428 0.345 0.274
0.583 0.849 0.604
0.655 0.928 0.083
0.845 0.572 0.917
0.308 0.625 0.095
0.375 0.471 0.683
0.529 0.212 0.905
0.750 0.250 0.500
0.788 0.692 0.317
```

## Properties
- DFT total energy: -2.721 eV/atom
- Offset from the most stable computed form: 0.0118 eV/atom
- Calculated density: 10.1 g/cm³
- V: 31.72 Å³ per atom
- E_form: 0.050 eV/atom
- Symmetry: I-4, No. 82


# 6
VASP calculation (PBE-GGA) on a relaxed NaTlPb6 crystal.

Cell and atoms, written as POSCAR:
```
NaTlPb6
1.0
4.921 0.000 0.000
0.000 4.921 0.000
0.000 0.000 10.114
Na Tl Pb
1 1 6
Direct
0.000 0.000 0.000
0.000 0.000 0.500
0.000 0.500 0.246
0.000 0.500 0.754
0.500 0.000 0.246
0.500 0.000 0.754
0.500 0.500 0.000
0.500 0.500 0.500
```

## Properties
- DFT total energy: -3.286 eV/atom
- Offset from the most stable computed form: 0.0000 eV/atom
- Calculated density: 10.0 g/cm³
- V: 30.62 Å³ per atom
- E_form: -0.044 eV/atom
- Symmetry: P4/mmm, No. 123


# 7
VASP calculation (PBE-GGA) on a relaxed NaTlPb crystal.

Cell and atoms, written as POSCAR:
```
NaTlPb
1.0
5.854 -1.991 0.000
5.854 1.991 0.000
-2.766 0.000 7.626
Na Tl Pb
2 2 2
Direct
0.000 0.000 0.000
0.000 0.000 0.500
0.336 0.336 0.667
0.664 0.664 0.333
0.326 0.326 0.163
0.674 0.674 0.837
```

## Properties
- DFT total energy: -2.579 eV/atom
- Calculated density: 8.1 g/cm³
- V: 29.63 Å³ per atom
- E_form: -0.114 eV/atom
- Symmetry: C2/m, No. 12


# 8
VASP calculation (PBE-GGA) on a relaxed NaTmTlPb crystal.

Cell and atoms, written as POSCAR:
```
NaTmTlPb
1.0
0.000 3.793 3.793
3.793 0.000 3.793
3.793 3.793 0.000
Na Tm Tl Pb
1 1 1 1
Direct
0.000 0.000 0.000
0.500 0.500 0.500
0.250 0.250 0.250
0.750 0.750 0.750
```

## Properties
- DFT total energy: -3.182 eV/atom
- Offset from the most stable computed form: 0.0237 eV/atom
- Calculated density: 9.2 g/cm³
- V: 27.28 Å³ per atom
- E_form: -0.216 eV/atom
- Symmetry: F-43m, No. 216